# BaCuS3 | the Alexandria database | PBE | optimized geometry
# crystal system: cubic
# N(E_F): 8.94 states/eV/f.u.
# raw total energy: -2.84 eV per atom
data_BaCuS3
_symmetry_space_group_name_H-M 'P m -3 m'
_symmetry_Int_Tables_number 221
_symmetry_space_group_name_Hall '-P 4 2 3'
_cell_length_a 5.6853
_cell_length_b 5.6853
_cell_length_c 5.6853
_cell_angle_alpha 90.00
_cell_angle_beta 90.00
_cell_angle_gamma 90.00
loop_
_atom_site_label
_atom_site_fract_x
_atom_site_fract_y
_atom_site_fract_z
Ba1 0.0000 0.0000 0.0000
Cu1 0.5000 0.5000 0.5000
S1 0.0000 0.0000 0.5000